1.
This record from Alexandria describes crystalline La4PRu4 at its relaxed geometry. The functional is PBE.

**Calculated density**: 8.80 g cm⁻³
**N(E_F)**: 7.85 states/eV/f.u.
**Energy of formation from the pure elements**: -16 kJ/mol of atoms
**Calculated volume**: 20.78 Å³ per atom
**Total energy**: -7.084 eV per atom

Cell and atoms, written as CIF:
```
data_La4PRu4
_chemical_formula_sum 'La8 P2 Ru8'
_space_group_name_H-M_alt 'I 4/m'
_space_group_IT_number 87
_space_group_name_Hall '-I 4'
_cell_length_a 9.572
_cell_length_b 9.572
_cell_length_c 4.083
_cell_angle_alpha 90.00
_cell_angle_beta 90.00
_cell_angle_gamma 90.00
loop_
_atom_site_label
_atom_site_fract_x
_atom_site_fract_y
_atom_site_fract_z
La1 0.165 0.834 0.000
P1 0.000 0.000 0.500
Ru1 0.000 0.368 0.500
```

2.
This record from Alexandria describes crystalline La3P3Ru at its relaxed geometry. The functional is PBE.

**Calculated density**: 6.03 g cm⁻³
**N(E_F)**: 4.77 states/eV/f.u.
**Energy of formation from the pure elements**: -85 kJ/mol of atoms
**Calculated volume**: 24.04 Å³ per atom
**Total energy**: -6.641 eV per atom

Cell and atoms, written as CIF:
```
data_La3P3Ru
_chemical_formula_sum 'La6 P6 Ru2'
_space_group_name_H-M_alt 'P 1 21/m 1'
_space_group_IT_number 11
_space_group_name_Hall '-P 2yb'
_cell_length_a 7.578
_cell_length_b 4.026
_cell_length_c 11.032
_cell_angle_alpha 90.00
_cell_angle_beta 90.41
_cell_angle_gamma 90.00
loop_
_atom_site_label
_atom_site_fract_x
_atom_site_fract_y
_atom_site_fract_z
La1 0.102 0.250 0.123
La2 0.173 0.250 0.611
La3 0.391 0.750 0.855
P1 0.133 0.250 0.368
P2 0.357 0.750 0.130
P3 0.460 0.750 0.587
Ru1 0.360 0.750 0.369
```

3.
This record from Alexandria describes crystalline LaP3Ru2 at its relaxed geometry. The functional is PBE.

**Calculated density**: 7.18 g cm⁻³
**N(E_F)**: 4.09 states/eV/f.u.
**Energy of formation from the pure elements**: -37 kJ/mol of atoms
**Calculated volume**: 16.73 Å³ per atom
**Total energy**: -7.005 eV per atom

Cell and atoms, written as CIF:
```
data_LaP3Ru2
_chemical_formula_sum 'La1 P3 Ru2'
_space_group_name_H-M_alt 'P 6/m m m'
_space_group_IT_number 191
_space_group_name_Hall '-P 6 2'
_cell_length_a 5.6049
_cell_length_b 5.6049
_cell_length_c 3.6902
_cell_angle_alpha 90.00
_cell_angle_beta 90.00
_cell_angle_gamma 120.00
loop_
_atom_site_label
_atom_site_fract_x
_atom_site_fract_y
_atom_site_fract_z
La1 0.0000 0.0000 0.0000
P1 0.0000 0.5000 0.5000
Ru1 0.3333 0.6667 0.0000
```

4.
This record from Alexandria describes crystalline LaP3Ru5 at its relaxed geometry. The functional is PBE.

**Calculated density**: 8.48 g cm⁻³
**N(E_F)**: 6.28 states/eV/f.u.
**Energy of formation from the pure elements**: -60 kJ/mol of atoms
**Calculated volume**: 16.03 Å³ per atom
**Total energy**: -8.123 eV per atom

Cell and atoms, written as CIF:
```
data_LaP3Ru5
_chemical_formula_sum 'La4 P12 Ru20'
_space_group_name_H-M_alt 'C m c m'
_space_group_IT_number 63
_space_group_name_Hall '-C 2c 2'
_cell_length_a 3.920
_cell_length_b 12.228
_cell_length_c 12.041
_cell_angle_alpha 90.00
_cell_angle_beta 90.00
_cell_angle_gamma 90.00
loop_
_atom_site_label
_atom_site_fract_x
_atom_site_fract_y
_atom_site_fract_z
La1 0.000 0.160 0.250
P1 0.000 0.129 0.750
P2 0.000 0.386 0.543
Ru1 0.000 0.000 0.000
Ru2 0.000 0.205 0.573
Ru3 0.000 0.443 0.147
```

5.
This record from Alexandria describes crystalline LaPRuS2 at its relaxed geometry. The functional is PBE.

**Calculated density**: 5.35 g cm⁻³
**N(E_F)**: 2.90 states/eV/f.u.
**E_form (uncorrected)**: -705 meV per atom
**Calculated volume**: 20.80 Å³ per atom
**Total energy**: -6.279 eV per atom

Cell and atoms, written as CIF:
```
data_LaPRuS2
_chemical_formula_sum 'La1 P1 Ru1 S2'
_space_group_name_H-M_alt 'P 4/m m m'
_space_group_IT_number 123
_space_group_name_Hall '-P 4 2'
_cell_length_a 4.900
_cell_length_b 4.900
_cell_length_c 4.331
_cell_angle_alpha 90.00
_cell_angle_beta 90.00
_cell_angle_gamma 90.00
loop_
_atom_site_label
_atom_site_fract_x
_atom_site_fract_y
_atom_site_fract_z
La1 0.000 0.000 0.000
P1 0.500 0.500 0.000
Ru1 0.500 0.500 0.500
S1 0.000 0.500 0.500
```

6.
This record from Alexandria describes crystalline LaPRuS2 at its relaxed geometry. The functional is PBE.

**Calculated density**: 3.46 g cm⁻³
**N(E_F)**: 6.50 states/eV/f.u.
**E_form (uncorrected)**: 934 meV per atom
**Calculated volume**: 32.17 Å³ per atom
**Total energy**: -4.640 eV per atom

Cell and atoms, written as CIF:
```
data_LaPRuS2
_chemical_formula_sum 'La1 P1 Ru1 S2'
_space_group_name_H-M_alt 'P 4/m m m'
_space_group_IT_number 123
_space_group_name_Hall '-P 4 2'
_cell_length_a 5.410
_cell_length_b 5.410
_cell_length_c 5.496
_cell_angle_alpha 90.00
_cell_angle_beta 90.00
_cell_angle_gamma 90.00
loop_
_atom_site_label
_atom_site_fract_x
_atom_site_fract_y
_atom_site_fract_z
La1 0.000 0.000 0.000
P1 0.000 0.000 0.500
Ru1 0.500 0.500 0.500
S1 0.000 0.500 0.000
```

7.
This record from Alexandria describes crystalline LaSc2PRu at its relaxed geometry. The functional is PBE.

**Calculated density**: 4.73 g cm⁻³
**N(E_F)**: 4.05 states/eV/f.u.
**Energy of formation from the pure elements**: -10 kJ/mol of atoms
**Calculated volume**: 25.36 Å³ per atom
**Total energy**: -6.560 eV per atom

Cell and atoms, written as CIF:
```
data_LaSc2PRu
_chemical_formula_sum 'La1 Sc2 P1 Ru1'
_space_group_name_H-M_alt 'P 4/m m m'
_space_group_IT_number 123
_space_group_name_Hall '-P 4 2'
_cell_length_a 4.759
_cell_length_b 4.759
_cell_length_c 5.598
_cell_angle_alpha 90.00
_cell_angle_beta 90.00
_cell_angle_gamma 90.00
loop_
_atom_site_label
_atom_site_fract_x
_atom_site_fract_y
_atom_site_fract_z
La1 0.000 0.000 0.000
Sc1 0.000 0.500 0.500
P1 0.000 0.000 0.500
Ru1 0.500 0.500 0.000
```

8.
This record from Alexandria describes crystalline SrLa2PRu at its relaxed geometry. The functional is PBE.

**Calculated density**: 4.83 g cm⁻³
**N(E_F)**: 6.64 states/eV/f.u.
**Energy of formation from the pure elements**: 13 kJ/mol of atoms
**Calculated volume**: 34.21 Å³ per atom
**Total energy**: -5.111 eV per atom

Cell and atoms, written as CIF:
```
data_SrLa2PRu
_chemical_formula_sum 'Sr1 La2 P1 Ru1'
_space_group_name_H-M_alt 'P 4/m m m'
_space_group_IT_number 123
_space_group_name_Hall '-P 4 2'
_cell_length_a 5.550
_cell_length_b 5.550
_cell_length_c 5.553
_cell_angle_alpha 90.00
_cell_angle_beta 90.00
_cell_angle_gamma 90.00
loop_
_atom_site_label
_atom_site_fract_x
_atom_site_fract_y
_atom_site_fract_z
Sr1 0.000 0.000 0.000
La1 0.000 0.500 0.500
P1 0.000 0.000 0.500
Ru1 0.500 0.500 0.000
```